# NbTlCu2F8

NbTlCu2F8 after structural relaxation (PBE, the Alexandria database).

As for the density: 5.3 g/cm³. The total energy comes out at -5.064 eV/atom. The calculation puts the volume at 540 Å³/cell.

The space group is R-3 (No. 148, hexagonal axes) and the conventional cell measures 5.0403, 5.0403 and 24.5403 Å, with angles of 90.00, 90.00 and 120.00 degrees. Symmetry generates all atoms from Nb at (0.0000, 0.0000, 0.0000), Tl at (0.0000, 0.0000, 0.5000), Cu at (0.0000, 0.0000, 0.2273), F at (0.0000, 0.0000, 0.1513) and F at (0.0046, 0.3672, 0.6201).

***

# KRb2TlCl5

KRb2TlCl5 after structural relaxation (PBE, the Alexandria database).

As for the density: 3.2 g/cm³. The total energy comes out at -3.156 eV/atom. The calculation puts the volume at 1242 Å³/cell.

The space group is Cmc2_1 (No. 36) and the conventional cell measures 4.879, 18.916 and 13.453 Å, with angles of 90.00, 90.00 and 90.00 degrees. Symmetry generates all atoms from K at (0.000, 0.215, 0.000), Rb at (0.000, 0.114, 0.673), Rb at (0.000, 0.144, 0.288), Tl at (0.000, 0.469, 0.440), Cl at (0.000, 0.045, 0.022), Cl at (0.000, 0.285, 0.650), Cl at (0.000, 0.329, 0.355), Cl at (0.000, 0.379, 0.983) and Cl at (0.000, 0.490, 0.751).

***

# Ac3Tl4Rh4

Ac3Tl4Rh4 after structural relaxation (PBE, the Alexandria database).

The value obtained for the energy of formation from the pure elements is -0.423 eV per atom. As for the density: 11.6 g/cm³. The total energy comes out at -5.077 eV/atom. The calculation puts the volume at 547 Å³/cell.

The space group is Immm (No. 71) and the conventional cell measures 4.177, 8.460 and 15.479 Å, with angles of 90.00, 90.00 and 90.00 degrees. Symmetry generates all atoms from Ac at (0.000, 0.000, 0.000), Ac at (0.000, 0.500, 0.119), Tl at (0.000, 0.306, 0.329), Rh at (0.000, 0.000, 0.230) and Rh at (0.000, 0.203, 0.500).

***

# K2TlHgAs

K2TlHgAs after structural relaxation (PBE, the Alexandria database).

The value obtained for the energy of formation from the pure elements is -0.137 eV per atom. As for the density: 4.1 g/cm³. The total energy comes out at -2.039 eV/atom. The calculation puts the volume at 224 Å³/cell.

The space group is P4/mmm (No. 123) and the conventional cell measures 6.430, 6.430 and 5.411 Å, with angles of 90.00, 90.00 and 90.00 degrees. Symmetry generates all atoms from K at (0.000, 0.500, 0.000), Tl at (0.000, 0.000, 0.500), Hg at (0.500, 0.500, 0.500) and As at (0.000, 0.000, 0.000).

***

# ZnC3

ZnC3 after structural relaxation (PBE, the Alexandria database).

The value obtained for the energy of formation from the pure elements is 2.346 eV per atom. As for the density: 4.1 g/cm³. The total energy comes out at -4.891 eV/atom. Its distance to the lowest polymorph of the same formula is 1893 meV per atom. The calculation puts the volume at 41 Å³/cell.

The space group is P4/mmm (No. 123) and the conventional cell measures 3.124, 3.124 and 4.236 Å, with angles of 90.00, 90.00 and 90.00 degrees. Symmetry generates all atoms from Zn at (0.000, 0.000, 0.000), C at (0.000, 0.000, 0.500) and C at (0.500, 0.500, 0.345).

***

# Mg2SbP2

Mg2SbP2 after structural relaxation (PBE, the Alexandria database).

As for the density: 3.5 g/cm³. The total energy comes out at -3.819 eV/atom. Its distance to the lowest polymorph of the same formula is 0 meV per atom. The calculation puts the volume at 217 Å³/cell.

The space group is C2/m (No. 12) and the conventional cell measures 7.417, 4.684 and 6.261 Å, with angles of 90.00, 91.36 and 90.00 degrees. Symmetry generates all atoms from Mg at (0.173, 0.000, 0.336), Sb at (0.000, 0.500, 0.000) and P at (0.175, 0.000, 0.758).